An optimized crystal structure of Pm2CF, computed with PBE-GGA.

## Properties
- energy relative to the lowest polymorph listed for this composition (meV per atom) = 61
- M_tot (μB per formula unit) = 0.00

Cell lengths 6.847, 6.847, 6.847 Å; angles 30.63, 30.63, 30.63 degrees
Sites, in units of the cell vectors:
Pm1 0.000 0.000 0.000
Pm2 0.191 0.191 0.191
C1 0.596 0.596 0.596
F1 0.425 0.425 0.425

An optimized crystal structure of Pm4CS2F, computed with PBE-GGA.

## Properties
- M_tot (μB per formula unit) = 0.00
- uncorrected energy (eV/atom) = -6.495

Cell lengths 6.752, 3.847, 6.753 Å; angles 90.00, 108.35, 90.00 degrees
Sites, in units of the cell vectors:
Pm1 0.224 0.000 0.219
Pm2 0.231 0.500 0.765
Pm3 0.769 0.500 0.235
Pm4 0.776 0.000 0.781
C1 0.000 0.500 0.000
S1 0.000 0.000 0.500
S2 0.500 0.500 0.500
F1 0.500 0.000 0.000

An optimized crystal structure of Pm8C3S4F, computed with PBE-GGA.

## Properties
- M_tot (μB per formula unit) = 0.00
- uncorrected energy (eV/atom) = -6.711

Cell lengths 7.861, 7.861, 7.861 Å; angles 58.72, 58.72, 58.72 degrees
Sites, in units of the cell vectors:
Pm1 0.225 0.748 0.748
Pm2 0.240 0.240 0.240
Pm3 0.252 0.252 0.775
Pm4 0.252 0.775 0.252
Pm5 0.748 0.225 0.748
Pm6 0.748 0.748 0.225
Pm7 0.760 0.760 0.760
Pm8 0.775 0.252 0.252
C1 0.000 0.000 0.500
C2 0.000 0.500 0.000
C3 0.500 0.000 0.000
S1 0.000 0.000 0.000
S2 0.000 0.500 0.500
S3 0.500 0.000 0.500
S4 0.500 0.500 0.000
F1 0.500 0.500 0.500

An optimized crystal structure of Pm3CSF, computed with PBE-GGA.

## Properties
- M_tot (μB per formula unit) = 0.00
- uncorrected energy (eV/atom) = -6.522

Cell lengths 7.978, 3.843, 8.313 Å; angles 90.00, 101.49, 90.00 degrees
Sites, in units of the cell vectors:
Pm1 0.065 0.250 0.343
Pm2 0.251 0.250 0.967
Pm3 0.372 0.750 0.637
Pm4 0.628 0.250 0.363
Pm5 0.749 0.750 0.033
Pm6 0.935 0.750 0.657
C1 0.166 0.250 0.663
C2 0.834 0.750 0.337
S1 0.334 0.750 0.284
S2 0.666 0.250 0.716
F1 0.414 0.750 0.928
F2 0.586 0.250 0.072

An optimized crystal structure of Pm3CSeF, computed with PBE-GGA.

## Properties
- M_tot (μB per formula unit) = 0.00
- uncorrected energy (eV/atom) = -6.379

Cell lengths 8.159, 3.879, 8.447 Å; angles 90.00, 102.11, 90.00 degrees
Sites, in units of the cell vectors:
Pm1 0.060 0.250 0.345
Pm2 0.253 0.250 0.963
Pm3 0.365 0.750 0.638
Pm4 0.635 0.250 0.362
Pm5 0.747 0.750 0.037
Pm6 0.940 0.750 0.655
C1 0.165 0.250 0.663
C2 0.835 0.750 0.337
Se1 0.331 0.750 0.279
Se2 0.669 0.250 0.721
F1 0.412 0.750 0.926
F2 0.588 0.250 0.074

An optimized crystal structure of PmSmCF, computed with PBE-GGA.

## Properties
- M_tot (μB per formula unit) = 0.55
- uncorrected energy (eV/atom) = -6.350

Cell lengths 5.162, 4.296, 4.296 Å; angles 59.85, 90.00, 90.00 degrees
Sites, in units of the cell vectors:
Pm1 0.000 0.000 0.000
Sm1 0.500 0.667 0.667
C1 0.500 0.000 0.000
F1 0.000 0.667 0.667

An optimized crystal structure of Pr2CF2, computed with PBE-GGA.

## Properties
- M_tot (μB per formula unit) = 0.00
- uncorrected energy (eV/atom) = -6.541

Cell lengths 8.636, 8.636, 8.636 Å; angles 24.60, 24.60, 24.60 degrees
Sites, in units of the cell vectors:
Pr1 0.106 0.106 0.106
Pr2 0.894 0.894 0.894
C1 0.500 0.500 0.500
F1 0.385 0.385 0.385
F2 0.615 0.615 0.615

An optimized crystal structure of Pr6C3F2, computed with PBE-GGA.

## Properties
- M_tot (μB per formula unit) = 0.03
- uncorrected energy (eV/atom) = -6.525

Cell lengths 6.511, 6.511, 6.692 Å; angles 99.38, 99.38, 119.92 degrees
Sites, in units of the cell vectors:
Pr1 0.071 0.408 0.225
Pr2 0.254 0.254 0.777
Pr3 0.408 0.071 0.225
Pr4 0.592 0.929 0.775
Pr5 0.746 0.746 0.223
Pr6 0.929 0.592 0.775
C1 0.000 0.000 0.000
C2 0.332 0.668 0.000
C3 0.668 0.332 0.000
F1 0.167 0.833 0.500
F2 0.833 0.167 0.500

An optimized crystal structure of PrCF, computed with PBE-GGA.

## Properties
- energy relative to the lowest polymorph listed for this composition (meV per atom) = 0
- M_tot (μB per formula unit) = 0.00

Cell lengths 4.141, 4.141, 6.916 Å; angles 96.96, 96.96, 56.52 degrees
Sites, in units of the cell vectors:
Pr1 0.161 0.161 0.229
Pr2 0.839 0.839 0.771
C1 0.431 0.431 0.055
C2 0.569 0.569 0.945
F1 0.183 0.183 0.601
F2 0.817 0.817 0.399

An optimized crystal structure of Pr2CF, computed with PBE-GGA.

## Properties
- energy relative to the lowest polymorph listed for this composition (meV per atom) = 0
- M_tot (μB per formula unit) = 0.00

Cell lengths 6.694, 6.694, 6.694 Å; angles 32.41, 32.41, 32.41 degrees
Sites, in units of the cell vectors:
Pr1 0.241 0.241 0.241
Pr2 0.759 0.759 0.759
C1 0.500 0.500 0.500
F1 0.000 0.000 0.000

An optimized crystal structure of Pr2CF, computed with PBE-GGA.

## Properties
- energy relative to the lowest polymorph listed for this composition (meV per atom) = 55
- M_tot (μB per formula unit) = 0.00

Cell lengths 6.984, 6.984, 6.984 Å; angles 30.53, 30.53, 30.53 degrees
Sites, in units of the cell vectors:
Pr1 0.000 0.000 0.000
Pr2 0.190 0.190 0.190
C1 0.595 0.595 0.595
F1 0.425 0.425 0.425

An optimized crystal structure of Pr4C2F, computed with PBE-GGA.

## Properties
- M_tot (μB per formula unit) = 0.00
- uncorrected energy (eV/atom) = -6.481

Cell lengths 6.521, 3.725, 6.720 Å; angles 90.00, 106.72, 90.00 degrees
Sites, in units of the cell vectors:
Pr1 0.232 0.000 0.220
Pr2 0.268 0.500 0.777
Pr3 0.732 0.500 0.223
Pr4 0.768 0.000 0.780
C1 0.000 0.500 0.000
C2 0.500 0.000 0.000
F1 0.000 0.000 0.500

- M_tot of number 9 (PrCF)?
  0.00 μB per formula unit